(1)
LiIn6Hg12 | PBE | optimized geometry

energy above the lowest structure with this stoichiometry: 0.008 eV/atom
energy relative to the elements: 0.00 eV per atom

Cell lengths 8.565, 8.565, 8.565 Å; angles 107.78, 107.78, 107.78 degrees
Atoms (fractional coordinates):
Li1 0.000 0.000 0.000
In1 0.253 0.291 0.504
In2 0.291 0.504 0.253
In3 0.496 0.747 0.709
In4 0.504 0.253 0.291
In5 0.709 0.496 0.747
In6 0.747 0.709 0.496
Hg1 0.078 0.884 0.287
Hg2 0.108 0.691 0.525
Hg3 0.116 0.713 0.922
Hg4 0.287 0.078 0.884
Hg5 0.309 0.475 0.892
Hg6 0.475 0.892 0.309
Hg7 0.525 0.108 0.691
Hg8 0.691 0.525 0.108
Hg9 0.713 0.922 0.116
Hg10 0.884 0.287 0.078
Hg11 0.892 0.309 0.475
Hg12 0.922 0.116 0.713

***

(2)
Th4ZnIn | PBE | optimized geometry

energy relative to the elements: -0.15 eV per atom

Cell lengths 7.776, 7.776, 5.727 Å; angles 90.00, 90.00, 90.00 degrees
Atoms (fractional coordinates):
Th1 0.149 0.336 0.000
Th2 0.149 0.664 0.500
Th3 0.336 0.149 0.500
Th4 0.336 0.851 0.000
Th5 0.664 0.149 0.000
Th6 0.664 0.851 0.500
Th7 0.851 0.336 0.500
Th8 0.851 0.664 0.000
Zn1 0.000 0.000 0.250
Zn2 0.000 0.000 0.750
In1 0.500 0.500 0.250
In2 0.500 0.500 0.750

***

(3)
LaLuHf | PBE | optimized geometry

energy above the lowest structure with this stoichiometry: 0.000 eV/atom
energy relative to the elements: 0.14 eV per atom

Cell lengths 8.072, 8.072, 8.072 Å; angles 156.10, 156.10, 34.06 degrees
Atoms (fractional coordinates):
La1 0.000 0.000 0.000
Lu1 0.691 0.691 0.000
Hf1 0.333 0.333 0.000

***

(4)
SN | PBE | optimized geometry

E_form (uncorrected): 0.537 eV/atom

Cell lengths 4.529, 4.798, 5.181 Å; angles 92.76, 114.81, 117.43 degrees
Atoms (fractional coordinates):
S1 0.000 0.000 0.000
S2 0.192 0.683 0.681
N1 0.610 0.958 0.958
N2 0.883 0.725 0.723

***

(5)
Nb2Al2Si | PBE | optimized geometry

E_form (uncorrected): -0.212 eV/atom

Cell lengths 6.619, 6.619, 4.054 Å; angles 90.00, 90.00, 90.00 degrees
Atoms (fractional coordinates):
Nb1 0.160 0.340 0.000
Nb2 0.340 0.840 0.000
Nb3 0.660 0.160 0.000
Nb4 0.840 0.660 0.000
Al1 0.145 0.645 0.500
Al2 0.355 0.145 0.500
Al3 0.645 0.855 0.500
Al4 0.855 0.355 0.500
Si1 0.000 0.000 0.000
Si2 0.500 0.500 0.000

***

(6)
As2OsBr | PBE | optimized geometry

energy above the lowest structure with this stoichiometry: 0.491 eV/atom
E_form (uncorrected): 0.561 eV/atom

Cell lengths 6.179, 6.179, 6.179 Å; angles 151.95, 134.63, 54.19 degrees
Atoms (fractional coordinates):
As1 0.189 0.189 0.000
As2 0.811 0.811 0.000
Os1 0.000 0.500 0.500
Br1 0.500 0.000 0.500

***

(7)
RbS2F | PBE | optimized geometry

energy above the lowest structure with this stoichiometry: 1.266 eV/atom
E_form (uncorrected): 0.231 eV/atom

Cell lengths 9.158, 9.158, 9.158 Å; angles 21.40, 21.40, 21.40 degrees
Atoms (fractional coordinates):
Rb1 0.000 0.000 0.000
S1 0.426 0.426 0.426
S2 0.574 0.574 0.574
F1 0.500 0.500 0.500

***

(8)
Li2Mn4N3 | PBE | optimized geometry

E_form (uncorrected): -0.350 eV/atom

Cell lengths 7.322, 4.568, 5.292 Å; angles 90.00, 95.70, 90.00 degrees
Atoms (fractional coordinates):
Li1 0.240 0.205 0.034
Li2 0.240 0.295 0.534
Li3 0.760 0.705 0.466
Li4 0.760 0.795 0.966
Mn1 0.099 0.697 0.818
Mn2 0.099 0.803 0.318
Mn3 0.441 0.708 0.130
Mn4 0.441 0.792 0.630
Mn5 0.559 0.208 0.370
Mn6 0.559 0.292 0.870
Mn7 0.901 0.197 0.682
Mn8 0.901 0.303 0.182
N1 0.000 0.000 0.000
N2 0.000 0.500 0.500
N3 0.338 0.520 0.837
N4 0.338 0.980 0.337
N5 0.662 0.020 0.663
N6 0.662 0.480 0.163

***

(9)
CePu3Tl4Se8 | PBE | optimized geometry

E_form (uncorrected): -1.170 eV/atom

Cell lengths 9.154, 9.154, 9.154 Å; angles 55.63, 55.63, 55.63 degrees
Atoms (fractional coordinates):
Ce1 0.000 0.000 0.000
Pu1 0.000 0.500 0.500
Pu2 0.500 0.000 0.500
Pu3 0.500 0.500 0.000
Tl1 0.000 0.000 0.500
Tl2 0.000 0.500 0.000
Tl3 0.500 0.000 0.000
Tl4 0.500 0.500 0.500
Se1 0.236 0.236 0.734
Se2 0.236 0.734 0.236
Se3 0.266 0.266 0.266
Se4 0.266 0.764 0.764
Se5 0.734 0.236 0.236
Se6 0.734 0.734 0.734
Se7 0.764 0.266 0.764
Se8 0.764 0.764 0.266

***

(10)
LiEr4Mg5 | PBE | optimized geometry

energy relative to the elements: -0.06 eV per atom

Cell lengths 3.685, 3.685, 18.897 Å; angles 90.00, 90.00, 90.00 degrees
Atoms (fractional coordinates):
Li1 0.000 0.000 0.000
Er1 0.000 0.000 0.196
Er2 0.000 0.000 0.397
Er3 0.000 0.000 0.603
Er4 0.000 0.000 0.804
Mg1 0.500 0.500 0.087
Mg2 0.500 0.500 0.296
Mg3 0.500 0.500 0.500
Mg4 0.500 0.500 0.704
Mg5 0.500 0.500 0.913

***

no.,total magnetic moment (μB/cell)
1,0.00
2,0.00
3,0.00
4,0.00
5,0.00
6,0.00
7,0.00
8,12.94
9,16.00
10,0.00